(1)
## Sr3CdP2Pd9 (PBE)

Data for crystalline Sr3CdP2Pd9 at its relaxed geometry.

Cell: 7.0402 7.0402 7.5976 Å, 90.00 90.00 120.00°
Atoms (fractional coordinates):
Sr: 0.0000 0.0000 0.0000
Sr: 0.3333 0.6667 0.6749
Sr: 0.6667 0.3333 0.3251
Cd: 0.0000 0.0000 0.5000
P: 0.3333 0.6667 0.1363
P: 0.6667 0.3333 0.8637
Pd: 0.0000 0.5000 0.0000
Pd: 0.1906 0.3812 0.3325
Pd: 0.1906 0.8094 0.3325
Pd: 0.3812 0.1906 0.6675
Pd: 0.5000 0.0000 0.0000
Pd: 0.5000 0.5000 0.0000
Pd: 0.6188 0.8094 0.3325
Pd: 0.8094 0.1906 0.6675
Pd: 0.8094 0.6188 0.6675

Values from the calculation:
Magnetic moment = 0.00 μB per formula unit
Calculated density = 7.1 Mg/m³
Formation enthalpy at 0 K = -0.519 eV per atom
Fermi-level density of states = 5.93 states/eV/f.u.
Symmetry = P-3m1

(2)
## LiCeSmIn (PBE)

Data for crystalline LiCeSmIn at its relaxed geometry.

Cell: 5.3894 5.3894 5.3894 Å, 60.00 60.00 60.00°
Atoms (fractional coordinates):
Li: 0.0000 0.0000 0.0000
Ce: 0.2500 0.2500 0.2500
Sm: 0.7500 0.7500 0.7500
In: 0.5000 0.5000 0.5000

Values from the calculation:
Magnetic moment = 1.02 μB per formula unit
Calculated density = 6.2 Mg/m³
Formation enthalpy at 0 K = -0.146 eV per atom
Fermi-level density of states = 10.71 states/eV/f.u.
Symmetry = F-43m

(3)
## Ba2MgBi3 (PBE)

Data for crystalline Ba2MgBi3 at its relaxed geometry.

Cell: 8.5031 5.1415 20.7656 Å, 90.00 90.00 90.00°
Atoms (fractional coordinates):
Ba: 0.1400 0.2500 0.0811
Ba: 0.1408 0.2500 0.2913
Ba: 0.3592 0.7500 0.7913
Ba: 0.3600 0.7500 0.5811
Ba: 0.6400 0.2500 0.4189
Ba: 0.6408 0.2500 0.2087
Ba: 0.8592 0.7500 0.7087
Ba: 0.8600 0.7500 0.9189
Mg: 0.0558 0.7500 0.4394
Mg: 0.4442 0.2500 0.9394
Mg: 0.5558 0.7500 0.0606
Mg: 0.9442 0.2500 0.5606
Bi: 0.0739 0.2500 0.8229
Bi: 0.1567 0.2500 0.6798
Bi: 0.2258 0.2500 0.4698
Bi: 0.2742 0.7500 0.9698
Bi: 0.3433 0.7500 0.1798
Bi: 0.4261 0.7500 0.3229
Bi: 0.5739 0.2500 0.6771
Bi: 0.6567 0.2500 0.8202
Bi: 0.7258 0.2500 0.0302
Bi: 0.7742 0.7500 0.5302
Bi: 0.8433 0.7500 0.3202
Bi: 0.9261 0.7500 0.1771

Values from the calculation:
Magnetic moment = 0.00 μB per formula unit
Calculated density = 6.8 Mg/m³
Formation enthalpy at 0 K = -0.681 eV per atom
Fermi-level density of states = 2.00 states/eV/f.u.
Symmetry = Pnma

(4)
## Cd4Ga2Sn (PBE)

Data for crystalline Cd4Ga2Sn at its relaxed geometry.

Cell: 5.7672 5.7672 5.7168 Å, 107.63 107.63 67.13°
Atoms (fractional coordinates):
Cd: 0.0779 0.5780 0.7962
Cd: 0.4220 0.9221 0.2038
Cd: 0.5780 0.0779 0.7962
Cd: 0.9221 0.4220 0.2038
Ga: 0.0708 0.0708 0.7382
Ga: 0.9292 0.9292 0.2618
Sn: 0.5000 0.5000 0.5000

Values from the calculation:
Energy relative to the lowest polymorph listed for this composition = 0.00 eV/f.u.
Magnetic moment = 0.00 μB per formula unit
Calculated density = 7.2 Mg/m³
Formation enthalpy at 0 K = 0.065 eV per atom
Fermi-level density of states = 1.76 states/eV/f.u.
Symmetry = C2/m

(5)
## VTePd (PBE)

Data for crystalline VTePd at its relaxed geometry.

Cell: 4.3622 4.3622 3.4835 Å, 90.00 90.00 120.00°
Atoms (fractional coordinates):
V: 0.0000 0.0000 0.0000
Te: 0.6667 0.3333 0.6815
Pd: 0.3333 0.6667 0.4403

Values from the calculation:
Energy relative to the lowest polymorph listed for this composition = 0.00 eV/f.u.
Magnetic moment = 2.64 μB per formula unit
Calculated density = 8.2 Mg/m³
Formation energy without anion corrections = 0.168 eV/f.u.
Fermi-level density of states = 1.93 states/eV/f.u.
Symmetry = P3m1

(6)
## AcAgBiTe3 (PBE)

Data for crystalline AcAgBiTe3 at its relaxed geometry.

Cell: 9.4859 4.6287 9.7138 Å, 90.00 98.21 90.00°
Atoms (fractional coordinates):
Ac: 0.1737 0.2500 0.2285
Ac: 0.8263 0.7500 0.7715
Ag: 0.0751 0.2500 0.5701
Ag: 0.9249 0.7500 0.4299
Bi: 0.3323 0.7500 0.8433
Bi: 0.6677 0.2500 0.1567
Te: 0.0813 0.2500 0.8683
Te: 0.2365 0.7500 0.4947
Te: 0.4213 0.7500 0.1485
Te: 0.5787 0.2500 0.8515
Te: 0.7635 0.2500 0.5053
Te: 0.9187 0.7500 0.1317

Values from the calculation:
Magnetic moment = 0.00 μB per formula unit
Calculated density = 7.3 Mg/m³
Formation energy without anion corrections = -3.657 eV/f.u.
Fermi-level density of states = 2.74 states/eV/f.u.
Symmetry = P2_1/m

(7)
## RbTlTeAsCl (PBE)

Data for crystalline RbTlTeAsCl at its relaxed geometry.

Cell: 10.2805 10.2805 4.2271 Å, 93.82 93.82 22.75°
Atoms (fractional coordinates):
Rb: 0.0000 0.0000 0.0000
Tl: 0.1907 0.1907 0.8554
Te: 0.8116 0.8116 0.2771
As: 0.3451 0.3451 0.8785
Cl: 0.5713 0.5713 0.5185

Values from the calculation:
Energy relative to the lowest polymorph listed for this composition = 0.08 eV/f.u.
Magnetic moment = 0.00 μB per formula unit
Calculated density = 5.1 Mg/m³
Formation energy without anion corrections = -3.443 eV/f.u.
Fermi-level density of states = 0.10 states/eV/f.u.
Symmetry = Cm

(8)
## ZnSi3Sb (PBE)

Data for crystalline ZnSi3Sb at its relaxed geometry.

Cell: 4.7303 4.7303 4.7303 Å, 90.00 90.00 90.00°
Atoms (fractional coordinates):
Zn: 0.0000 0.0000 0.0000
Si: 0.0000 0.0000 0.5000
Si: 0.0000 0.5000 0.0000
Si: 0.5000 0.0000 0.0000
Sb: 0.5000 0.5000 0.5000

Values from the calculation:
Energy relative to the lowest polymorph listed for this composition = 0.00 eV/f.u.
Magnetic moment = 0.00 μB per formula unit
Calculated density = 4.3 Mg/m³
Formation energy without anion corrections = 4.204 eV/f.u.
Fermi-level density of states = 2.66 states/eV/f.u.
Symmetry = Pm-3m

(9)
## SrB2Ru (PBE)

Data for crystalline SrB2Ru at its relaxed geometry.

Cell: 7.2180 7.2180 7.2180 Å, 140.94 140.94 56.42°
Atoms (fractional coordinates):
Sr: 0.3750 0.6250 0.7500
Sr: 0.6250 0.3750 0.2500
B: 0.0000 0.0000 0.0000
B: 0.0000 0.0000 0.5000
B: 0.0000 0.5000 0.0000
B: 0.5000 0.0000 0.5000
Ru: 0.1250 0.8750 0.2500
Ru: 0.8750 0.1250 0.7500

Values from the calculation:
Energy relative to the lowest polymorph listed for this composition = 0.00 eV/f.u.
Magnetic moment = 0.00 μB per formula unit
Calculated density = 4.7 Mg/m³
Formation enthalpy at 0 K = 0.008 eV per atom
Fermi-level density of states = 0.01 states/eV/f.u.
Symmetry = I4_1/amd

(10)
## BaHoTeO6 (PBE)

Data for crystalline BaHoTeO6 at its relaxed geometry.

Cell: 5.7070 5.7070 5.6128 Å, 90.00 90.00 120.00°
Atoms (fractional coordinates):
Ba: 0.0000 0.0000 0.0000
Ho: 0.3333 0.6667 0.5000
Te: 0.6667 0.3333 0.5000
O: 0.3986 0.0398 0.6976
O: 0.3986 0.3588 0.3024
O: 0.6412 0.0398 0.3024
O: 0.6412 0.6014 0.6976
O: 0.9602 0.3588 0.6976
O: 0.9602 0.6014 0.3024

Values from the calculation:
Magnetic moment = 1.08 μB per formula unit
Calculated density = 5.5 Mg/m³
Formation energy without anion corrections = -18.705 eV/f.u.
Fermi-level density of states = 6.53 states/eV/f.u.
Symmetry = P312

(11)
## Tb2Pr4Sc (PBE)

Data for crystalline Tb2Pr4Sc at its relaxed geometry.

Cell: 7.1905 7.1905 6.0108 Å, 90.00 90.00 128.95°
Atoms (fractional coordinates):
Tb: 0.1120 0.8880 0.0000
Tb: 0.8880 0.1120 0.0000
Pr: 0.1874 0.8126 0.5000
Pr: 0.3648 0.6352 0.0000
Pr: 0.6352 0.3648 0.0000
Pr: 0.8126 0.1874 0.5000
Sc: 0.5000 0.5000 0.5000

Values from the calculation:
Energy relative to the lowest polymorph listed for this composition = 3.30 eV/f.u.
Magnetic moment = 0.00 μB per formula unit
Calculated density = 6.4 Mg/m³
Formation enthalpy at 0 K = 0.504 eV per atom
Fermi-level density of states = 11.67 states/eV/f.u.
Symmetry = Cmmm

(12)
## Hf2NbCu (PBE)

Data for crystalline Hf2NbCu at its relaxed geometry.

Cell: 10.0521 10.0521 10.0521 Å, 156.71 156.71 33.17°
Atoms (fractional coordinates):
Hf: 0.1242 0.6250 0.9992
Hf: 0.3750 0.3742 0.4992
Hf: 0.6258 0.1250 0.0008
Hf: 0.8750 0.8758 0.5008
Nb: 0.0000 0.0000 0.0000
Nb: 0.7500 0.2500 0.5000
Cu: 0.2500 0.7500 0.5000
Cu: 0.5000 0.5000 0.0000

Values from the calculation:
Energy relative to the lowest polymorph listed for this composition = 2.42 eV/f.u.
Magnetic moment = 0.00 μB per formula unit
Calculated density = 10.8 Mg/m³
Formation enthalpy at 0 K = 0.558 eV per atom
Fermi-level density of states = 3.00 states/eV/f.u.
Symmetry = I-42d

E_tot: -4.753; -3.972; -3.528; -1.894; -5.762; -3.987; -3.283; -3.492; -6.070; -6.455; -4.454; -7.960 (eV/atom)